Hg3RhO (PBE, relaxed); energy = -10.4 eV for the cell shown; E above lowest polymorph = 0.0 meV/atom; raw formation energy = 274 kJ/mol of formula units
1.0
4.617 0.000 0.000
0.000 4.617 0.000
0.000 0.000 4.617
Rh Hg O
1 3 1
Cartesian
2.308 2.308 2.308
0.000 2.308 0.000
0.000 0.000 2.308
2.308 0.000 0.000
0.000 0.000 0.000